A plane-wave DFT calculation with PBE was carried out for a relaxed structure of MnAlSe3.

Lattice parameters (Å, degrees): 7.0019 7.0019 7.0019 56.13 56.13 56.13
Closest atoms and distances in Å follow each position.
Positions (direct):
Mn 0.0000 0.0000 0.0000  6 Se 2.57
Mn 0.5000 0.5000 0.5000  6 Se 2.57
Al 0.2500 0.2500 0.2500  3 Se 2.38
Al 0.7500 0.7500 0.7500  3 Se 2.38
Se 0.1112 0.7500 0.3888  1 Al 2.38, 2 Mn 2.57
Se 0.2500 0.6112 0.8888  1 Al 2.38, 2 Mn 2.57
Se 0.3888 0.1112 0.7500  1 Al 2.38, 2 Mn 2.57
Se 0.6112 0.8888 0.2500  1 Al 2.38, 2 Mn 2.57
Se 0.7500 0.3888 0.1112  1 Al 2.38, 2 Mn 2.57
Se 0.8888 0.2500 0.6112  1 Al 2.38, 2 Mn 2.57

energy above the lowest structure with this stoichiometry: 0.807 eV per formula unit
total magnetization: 8.01 μB per cell
mass density: 4.79 g/cm3
formation energy (no corrections): -2.27 eV/f.u.

=====

A plane-wave DFT calculation with PBE was carried out for a relaxed structure of MnAlSe3.

Lattice parameters (Å, degrees): 8.6125 8.6125 7.3808 101.78 101.78 25.17
Closest atoms and distances in Å follow each position.
Positions (direct):
Mn 0.1599 0.1599 0.3367  5 Se 2.48-2.70
Mn 0.8401 0.8401 0.6633  5 Se 2.48-2.70
Al 0.4094 0.4094 0.1822  5 Se 2.51-2.53
Al 0.5906 0.5906 0.8178  5 Se 2.51-2.53
Se 0.0089 0.0089 0.2737  1 Mn 2.48, 2 Al 2.51
Se 0.1693 0.1693 0.0053  1 Mn 2.48, 2 Al 2.53
Se 0.3241 0.3241 0.4265  1 Al 2.53, 3 Mn 2.54-2.70
Se 0.6759 0.6759 0.5735  1 Al 2.53, 3 Mn 2.54-2.70
Se 0.8307 0.8307 0.9947  1 Mn 2.48, 2 Al 2.53
Se 0.9911 0.9911 0.7263  1 Mn 2.48, 2 Al 2.51

energy above the lowest structure with this stoichiometry: 0.713 eV per formula unit
total magnetization: 8.00 μB per cell
mass density: 4.65 g/cm3
formation energy (no corrections): -2.37 eV/f.u.

=====

A plane-wave DFT calculation with PBE was carried out for a relaxed structure of MnAlSe3.

Lattice parameters (Å, degrees): 3.7706 6.3163 10.3444 90.06 99.71 91.76
Closest atoms and distances in Å follow each position.
Positions (direct):
Mn 0.2246 0.4592 0.0528  1 Mn 1.94
Mn 0.7754 0.5408 0.9472  1 Mn 1.94
Al 0.2987 0.6462 0.5969  5 Se 2.45-2.64
Al 0.7013 0.3538 0.4031  5 Se 2.45-2.64
Se 0.1431 0.2677 0.2390  1 Mn 2.33, 1 Al 2.52
Se 0.2597 0.2612 0.5634  3 Al 2.45-2.60
Se 0.4367 0.2386 0.9148  2 Mn 2.25-2.26
Se 0.5633 0.7614 0.0852  2 Mn 2.25-2.26
Se 0.7403 0.7388 0.4366  3 Al 2.45-2.60
Se 0.8569 0.7323 0.7610  1 Mn 2.33, 1 Al 2.52

energy above the lowest structure with this stoichiometry: 0.861 eV per formula unit
total magnetization: 0.00 μB per cell
mass density: 4.36 g/cm3
formation energy (no corrections): -2.22 eV/f.u.

=====

A plane-wave DFT calculation with PBE was carried out for a relaxed structure of MnAlSe3.

Lattice parameters (Å, degrees): 6.9068 6.9068 6.9068 55.85 55.85 55.85
Closest atoms and distances in Å follow each position.
Positions (direct):
Mn 0.0000 0.0000 0.0000  6 Se 2.56-2.58
Mn 0.5000 0.5000 0.5000  6 Se 2.56-2.58
Al 0.1929 0.1929 0.1929  6 Se 2.55-2.63
Al 0.6929 0.6929 0.6929  6 Se 2.55-2.63
Se 0.0981 0.3996 0.7845  2 Al 2.55-2.63, 2 Mn 2.56-2.58
Se 0.2845 0.8996 0.5981  2 Al 2.55-2.63, 2 Mn 2.56-2.58
Se 0.3996 0.7845 0.0981  2 Al 2.55-2.63, 2 Mn 2.56-2.58
Se 0.5981 0.2845 0.8996  2 Al 2.55-2.63, 2 Mn 2.56-2.58
Se 0.7845 0.0981 0.3996  2 Al 2.55-2.63, 2 Mn 2.56-2.58
Se 0.8996 0.5981 0.2845  2 Al 2.55-2.63, 2 Mn 2.56-2.58

energy above the lowest structure with this stoichiometry: 0.162 eV per formula unit
total magnetization: 8.00 μB per cell
mass density: 5.03 g/cm3
formation energy (no corrections): -2.92 eV/f.u.

=====

A plane-wave DFT calculation with PBE was carried out for a relaxed structure of MnAlSe3.

Lattice parameters (Å, degrees): 6.4819 6.6042 6.6233 90.00 116.33 90.00
Closest atoms and distances in Å follow each position.
Positions (direct):
Mn 0.1290 0.2500 0.1516  5 Se 2.50-2.63
Mn 0.8710 0.7500 0.8484  5 Se 2.50-2.63
Al 0.4922 0.2500 0.8558  5 Se 2.39-2.58
Al 0.5078 0.7500 0.1442  5 Se 2.39-2.58
Se 0.2073 0.5008 0.8969  2 Al 2.52-2.58, 2 Mn 2.57-2.63
Se 0.2073 0.9992 0.8969  2 Al 2.52-2.58, 2 Mn 2.57-2.63
Se 0.4969 0.7500 0.4997  1 Al 2.39, 1 Mn 2.50
Se 0.5031 0.2500 0.5003  1 Al 2.39, 1 Mn 2.50
Se 0.7927 0.0008 0.1031  2 Al 2.52-2.58, 2 Mn 2.57-2.63
Se 0.7927 0.4992 0.1031  2 Al 2.52-2.58, 2 Mn 2.57-2.63

energy above the lowest structure with this stoichiometry: 0.783 eV per formula unit
total magnetization: 8.88 μB per cell
mass density: 4.17 g/cm3
formation energy (no corrections): -2.30 eV/f.u.

=====

A plane-wave DFT calculation with PBE was carried out for a relaxed structure of MnAlSe3.

Lattice parameters (Å, degrees): 4.8869 4.8869 4.8869 90.00 90.00 90.00
Closest atoms and distances in Å follow each position.
Positions (direct):
Mn 0.0000 0.0000 0.0000  12 Se 3.46
Al 0.5000 0.5000 0.5000  6 Se 2.44
Se 0.0000 0.5000 0.5000  2 Al 2.44
Se 0.5000 0.0000 0.5000  2 Al 2.44
Se 0.5000 0.5000 0.0000  2 Al 2.44

energy above the lowest structure with this stoichiometry: 3.932 eV per formula unit
total magnetization: 4.78 μB per cell
mass density: 4.54 g/cm3
formation energy (no corrections): 0.85 eV/f.u.

=====

A plane-wave DFT calculation with PBE was carried out for a relaxed structure of MnAlSe3.

Lattice parameters (Å, degrees): 8.8009 8.8009 8.8009 60.00 60.00 60.00
Closest atoms and distances in Å follow each position.
Positions (direct):
Mn 0.0000 0.0000 0.0000  6 Se 2.81
Mn 0.0000 0.0000 0.5000  6 Se 2.81
Mn 0.0000 0.5000 0.0000  6 Se 2.81
Mn 0.5000 0.0000 0.0000  6 Se 2.81
Al 0.0000 0.5000 0.5000  6 Se 2.59
Al 0.5000 0.0000 0.5000  6 Se 2.59
Al 0.5000 0.5000 0.0000  6 Se 2.59
Al 0.5000 0.5000 0.5000  6 Se 2.59
Se 0.1404 0.1404 0.6096  2 Al 2.59, 2 Mn 2.81
Se 0.1404 0.6096 0.1404  2 Al 2.59, 2 Mn 2.81
Se 0.1404 0.6096 0.6096  2 Al 2.59, 2 Mn 2.81
Se 0.3904 0.3904 0.8596  2 Al 2.59, 2 Mn 2.81
Se 0.3904 0.8596 0.3904  2 Al 2.59, 2 Mn 2.81
Se 0.3904 0.8596 0.8596  2 Al 2.59, 2 Mn 2.81
Se 0.6096 0.1404 0.1404  2 Al 2.59, 2 Mn 2.81
Se 0.6096 0.1404 0.6096  2 Al 2.59, 2 Mn 2.81
Se 0.6096 0.6096 0.1404  2 Al 2.59, 2 Mn 2.81
Se 0.8596 0.3904 0.3904  2 Al 2.59, 2 Mn 2.81
Se 0.8596 0.3904 0.8596  2 Al 2.59, 2 Mn 2.81
Se 0.8596 0.8596 0.3904  2 Al 2.59, 2 Mn 2.81

energy above the lowest structure with this stoichiometry: 2.123 eV per formula unit
total magnetization: 16.29 μB per cell
mass density: 4.39 g/cm3
formation energy (no corrections): -0.96 eV/f.u.

=====

A plane-wave DFT calculation with PBE was carried out for a relaxed structure of MnAlSe3.

Lattice parameters (Å, degrees): 6.6318 3.8004 9.8698 90.00 101.88 90.00
Closest atoms and distances in Å follow each position.
Positions (direct):
Mn 0.2205 0.2500 0.4951  6 Se 2.50-2.69
Mn 0.7795 0.7500 0.5049  6 Se 2.50-2.69
Al 0.4549 0.2500 0.1195  4 Se 2.37-2.47
Al 0.5451 0.7500 0.8805  4 Se 2.37-2.47
Se 0.0343 0.7500 0.3508  3 Mn 2.50-2.54
Se 0.2565 0.7500 0.0038  3 Al 2.46-2.47
Se 0.4649 0.7500 0.6354  1 Al 2.37
Se 0.5351 0.2500 0.3646  1 Al 2.37
Se 0.7435 0.2500 0.9962  3 Al 2.46-2.47
Se 0.9657 0.2500 0.6492  3 Mn 2.50-2.54

energy above the lowest structure with this stoichiometry: 0.000 eV per formula unit
total magnetization: 8.00 μB per cell
mass density: 4.35 g/cm3
formation energy (no corrections): -3.08 eV/f.u.

=====

Number 1: electronic total energy -51.3 eV/cell. Number 2: electronic total energy -51.5 eV/cell. Number 3: electronic total energy -51.2 eV/cell. Number 4: electronic total energy -52.6 eV/cell. Number 5: electronic total energy -51.3 eV/cell. Number 6: electronic total energy -22.5 eV/cell. Number 7: electronic total energy -97.3 eV/cell. Number 8: electronic total energy -52.9 eV/cell.